Density functional theory data (PBE) for crystalline Cu2HPd at its relaxed geometry.

E_tot ... -4.00 eV per atom

Cell lengths 4.045, 4.045, 3.288 Å; angles 90.00, 90.00, 120.00 degrees
Element x y z (fractional)
Cu 0.333 0.667 0.000
Cu 0.667 0.333 0.000
H 0.000 0.000 0.000
Pd 0.000 0.000 0.500


Density functional theory data (PBE) for crystalline CuHPd4 at its relaxed geometry.

E_tot ... -4.36 eV per atom

Cell lengths 6.171, 6.171, 6.171 Å; angles 107.86, 107.86, 112.74 degrees
Element x y z (fractional)
Cu 0.000 0.000 0.000
Cu 0.750 0.250 0.500
H 0.311 0.811 0.500
H 0.561 0.561 0.000
Pd 0.063 0.379 0.317
Pd 0.063 0.746 0.683
Pd 0.129 0.313 0.817
Pd 0.466 0.169 0.702
Pd 0.466 0.764 0.298
Pd 0.496 0.313 0.183
Pd 0.514 0.716 0.798
Pd 0.919 0.716 0.202


Density functional theory data (PBE) for crystalline Cu2HPd at its relaxed geometry.

E_tot ... -3.94 eV per atom

Cell lengths 2.626, 2.626, 6.355 Å; angles 90.00, 90.00, 90.00 degrees
Element x y z (fractional)
Cu 0.000 0.000 0.192
Cu 0.000 0.000 0.808
H 0.500 0.500 0.000
Pd 0.500 0.500 0.500


Density functional theory data (PBE) for crystalline Cu2HPd at its relaxed geometry.

E_tot ... -3.62 eV per atom

Cell lengths 4.089, 4.089, 4.089 Å; angles 60.00, 60.00, 60.00 degrees
Element x y z (fractional)
Cu 0.250 0.250 0.250
Cu 0.750 0.750 0.750
H 0.000 0.000 0.000
Pd 0.500 0.500 0.500